Record 1
First-principles (PBEsol) data for an optimized crystal structure of HgIr2S, as listed in Alexandria. Values from VASP.

Crystal system: tetragonal
Uncorrected energy (eV for the cell shown): -45.8
Energy relative to the elements, uncorrected (meV per atom): 430

Structure (Quantum ESPRESSO input):
```
&SYSTEM
  ibrav = 0, nat = 8, ntyp = 3
/
ATOMIC_SPECIES
Ir 192.22 Ir.upf
S 32.06 S.upf
Hg 200.59 Hg.upf
ATOMIC_POSITIONS crystal
Ir 0.798 0.875 0.423
Ir 0.125 0.548 0.923
Ir 0.625 0.202 0.077
Ir 0.452 0.375 0.577
S 0.500 0.500 0.000
S 0.750 0.250 0.500
Hg 0.000 0.000 0.000
Hg 0.250 0.750 0.500
CELL_PARAMETERS angstrom
-2.398 -3.688 -3.478
-1.932 0.213 5.261
-1.035 5.054 -2.200
```


Record 2
First-principles (PBEsol) data for an optimized crystal structure of HgIrS2, as listed in Alexandria. Values from VASP.

Crystal system: trigonal
Uncorrected energy (eV for the cell shown): -20.1
Energy relative to the elements, uncorrected (meV per atom): -224

Structure (Quantum ESPRESSO input):
```
&SYSTEM
  ibrav = 0, nat = 4, ntyp = 3
/
ATOMIC_SPECIES
S 32.06 S.upf
Hg 200.59 Hg.upf
Ir 192.22 Ir.upf
ATOMIC_POSITIONS crystal
S 0.883 0.883 0.350
S 0.117 0.117 0.650
Hg 0.000 0.000 0.000
Ir 0.500 0.500 0.500
CELL_PARAMETERS angstrom
-1.765 -1.969 2.371
-0.990 -3.309 -0.826
5.725 -4.428 3.244
```


Record 3
First-principles (PBEsol) data for an optimized crystal structure of HgSbIr, as listed in Alexandria. Values from VASP.

Energy relative to the lowest polymorph listed for this composition (eV per atom): 0.000
Crystal system: cubic
Uncorrected energy (eV for the cell shown): -14.6
Energy relative to the elements, uncorrected (meV per atom): 110

Structure (Quantum ESPRESSO input):
```
&SYSTEM
  ibrav = 0, nat = 3, ntyp = 3
/
ATOMIC_SPECIES
Hg 200.59 Hg.upf
Ir 192.22 Ir.upf
Sb 121.76 Sb.upf
ATOMIC_POSITIONS crystal
Hg 0.500 0.500 0.500
Ir 0.250 0.250 0.250
Sb 0.000 0.000 0.000
CELL_PARAMETERS angstrom
-3.282 1.170 2.828
-3.120 -3.001 1.181
-0.061 -1.650 4.173
```


Record 4
First-principles (PBEsol) data for an optimized crystal structure of Hg4SbIr, as listed in Alexandria. Values from VASP.

Crystal system: cubic
Uncorrected energy (eV for the cell shown): -12.9
Energy relative to the elements, uncorrected (meV per atom): 620

Structure (Quantum ESPRESSO input):
```
&SYSTEM
  ibrav = 0, nat = 6, ntyp = 3
/
ATOMIC_SPECIES
Hg 200.59 Hg.upf
Sb 121.76 Sb.upf
Ir 192.22 Ir.upf
ATOMIC_POSITIONS crystal
Hg 0.375 0.375 0.874
Hg 0.375 0.375 0.375
Hg 0.375 0.874 0.375
Hg 0.874 0.375 0.375
Sb 0.000 0.000 0.000
Ir 0.750 0.750 0.750
CELL_PARAMETERS angstrom
-4.467 2.173 2.610
-3.883 -3.394 2.213
-0.487 -0.449 5.572
```


Record 5
First-principles (PBEsol) data for an optimized crystal structure of HgSbIr, as listed in Alexandria. Values from VASP.

Energy relative to the lowest polymorph listed for this composition (eV per atom): 0.077
Crystal system: trigonal
Uncorrected energy (eV for the cell shown): -14.4
Energy relative to the elements, uncorrected (meV per atom): 188

Structure (Quantum ESPRESSO input):
```
&SYSTEM
  ibrav = 0, nat = 3, ntyp = 3
/
ATOMIC_SPECIES
Hg 200.59 Hg.upf
Sb 121.76 Sb.upf
Ir 192.22 Ir.upf
ATOMIC_POSITIONS crystal
Hg 0.000 0.000 0.967
Sb 0.667 0.333 0.385
Ir 0.333 0.667 0.648
CELL_PARAMETERS angstrom
-3.290 0.603 0.481
1.323 -2.973 0.908
1.286 2.356 5.841
```


Record 6
First-principles (PBEsol) data for an optimized crystal structure of HgSb2Ir, as listed in Alexandria. Values from VASP.

Crystal system: monoclinic
Uncorrected energy (eV for the cell shown): -18.9
Energy relative to the elements, uncorrected (meV per atom): 161

Structure (Quantum ESPRESSO input):
```
&SYSTEM
  ibrav = 0, nat = 4, ntyp = 3
/
ATOMIC_SPECIES
Ir 192.22 Ir.upf
Sb 121.76 Sb.upf
Hg 200.59 Hg.upf
ATOMIC_POSITIONS crystal
Ir 0.500 0.479 0.841
Sb 0.500 0.700 0.271
Sb 0.000 0.016 0.909
Hg 0.000 0.305 0.479
CELL_PARAMETERS angstrom
3.625 0.000 0.000
0.000 3.995 -0.010
0.000 -1.968 6.061
```


Record 7
First-principles (PBEsol) data for an optimized crystal structure of HgSbIr, as listed in Alexandria. Values from VASP.

Energy relative to the lowest polymorph listed for this composition (eV per atom): 0.031
Crystal system: tetragonal
Uncorrected energy (eV for the cell shown): -14.5
Energy relative to the elements, uncorrected (meV per atom): 142

Structure (Quantum ESPRESSO input):
```
&SYSTEM
  ibrav = 0, nat = 3, ntyp = 3
/
ATOMIC_SPECIES
Hg 200.59 Hg.upf
Sb 121.76 Sb.upf
Ir 192.22 Ir.upf
ATOMIC_POSITIONS crystal
Hg 0.978 0.978 0.956
Sb 0.699 0.699 0.398
Ir 0.323 0.323 0.646
CELL_PARAMETERS angstrom
3.096 0.000 0.000
0.000 3.096 0.000
-1.548 -1.548 6.413
```


Record 8
First-principles (PBEsol) data for an optimized crystal structure of HgSb2Ir, as listed in Alexandria. Values from VASP.

Crystal system: orthorhombic
Uncorrected energy (eV for the cell shown): -17.9
Energy relative to the elements, uncorrected (meV per atom): 396

Structure (Quantum ESPRESSO input):
```
&SYSTEM
  ibrav = 0, nat = 4, ntyp = 3
/
ATOMIC_SPECIES
Sb 121.76 Sb.upf
Ir 192.22 Ir.upf
Hg 200.59 Hg.upf
ATOMIC_POSITIONS crystal
Sb 0.000 0.000 0.500
Sb 0.000 0.500 0.000
Ir 0.500 0.500 0.500
Hg 0.500 0.000 0.000
CELL_PARAMETERS angstrom
-1.722 -3.173 -0.561
1.823 -0.194 -4.494
3.266 -2.265 2.787
```


Look up the uncorrected energy of the sixth one. -18.9 eV for the cell shown